# Tb5Dy5Cd2

Crystalline Tb5Dy5Cd2 at its relaxed geometry (PBE, Alexandria via LeMat-Bulk).

Properties
Calculated formation energy in eV/atom: -0.064
V in A^3/atom: 30.05
Mass density in g cm⁻³: 8.436
Electronic total energy in eV/cell: -97.53

Unit cell a=12.124 b=5.401 c=11.014 alpha=90.00 beta=90.05 gamma=90.00
Space group C2/m (No. 12)
One atom of each set of equivalent atoms:
Tb  0.000  0.000  0.000 [2 per cell]
Tb  0.021  0.500  0.750 [4 per cell]
Tb  0.178  0.500  0.467 [4 per cell]
Dy  0.000  0.000  0.500 [2 per cell]
Dy  0.178  0.500  0.033 [4 per cell]
Dy  0.182  0.000  0.250 [4 per cell]
Cd  0.150  0.000  0.750 [4 per cell]



# Tb3Dy7Cd

Crystalline Tb3Dy7Cd at its relaxed geometry (PBE, Alexandria via LeMat-Bulk).

Properties
Calculated formation energy in eV/atom: 0.161
V in A^3/atom: 32.34
Mass density in g cm⁻³: 8.059
Electronic total energy in eV/cell: -45.25

Unit cell a=6.9440 b=6.9440 c=8.5195 alpha=90.00 beta=90.00 gamma=120.00
Space group P3m1 (No. 156)
One atom of each set of equivalent atoms:
Tb  0.0030  0.5015  0.0000 [3 per cell]
Dy  0.1696  0.3392  0.3381 [3 per cell]
Dy  0.3333  0.6667  0.6703 [1 per cell]
Dy  0.3348  0.1674  0.6630 [3 per cell]
Cd  0.6667  0.3333  0.3386 [1 per cell]



# Tb6Dy8Cd

Crystalline Tb6Dy8Cd at its relaxed geometry (PBE, Alexandria via LeMat-Bulk).

Properties
Calculated formation energy in eV/atom: 0.096
V in A^3/atom: 31.75
Mass density in g cm⁻³: 8.250
Electronic total energy in eV/cell: -64.08

Unit cell a=9.3772 b=9.3772 c=6.2534 alpha=90.00 beta=90.00 gamma=120.00
Space group P-3 (No. 147)
One atom of each set of equivalent atoms:
Tb  0.0925  0.6374  0.1870 [6 per cell]
Dy  0.0402  0.7756  0.6909 [6 per cell]
Dy  0.3333  0.6667  0.6859 [2 per cell]
Cd  0.0000  0.0000  0.0000 [1 per cell]



# Tb2Dy8Cd

Crystalline Tb2Dy8Cd at its relaxed geometry (PBE, Alexandria via LeMat-Bulk).

Properties
Relative energy among the computed polymorphs in meV per atom: 0
Calculated formation energy in eV/atom: -0.005
V in A^3/atom: 30.48
Mass density in g cm⁻³: 8.568
Electronic total energy in eV/cell: -47.05

Unit cell a=6.073 b=6.082 c=9.270 alpha=89.96 beta=83.89 gamma=80.10
Space group P-1 (No. 2)
One atom of each set of equivalent atoms:
Tb  0.188  0.138  0.270 [2 per cell]
Dy  0.090  0.319  0.639 [2 per cell]
Dy  0.269  0.960  0.910 [2 per cell]
Dy  0.365  0.774  0.543 [2 per cell]
Dy  0.453  0.593  0.178 [2 per cell]
Cd  0.000  0.500  0.000 [1 per cell]